# 1
# LaLuAgRh GGA-PBE relaxed
# * energy of formation from the pure elements: -0.505 eV per atom
data_LaLuAgRh
_chemical_formula_sum 'La4 Lu4 Ag4 Rh4'
_cell_length_a 7.1740
_cell_length_b 7.1740
_cell_length_c 7.1740
_cell_angle_alpha 90.00
_cell_angle_beta 90.00
_cell_angle_gamma 90.00
_space_group_name_H-M_alt 'F -4 3 m'
_space_group_IT_number 216
_space_group_name_Hall 'F -4 2 3'
loop_
_atom_site_label
_atom_site_fract_x
_atom_site_fract_y
_atom_site_fract_z
_atom_site_occupancy
La1 0.0000 0.0000 0.0000 1
Lu1 0.0000 0.0000 0.5000 1
Ag1 0.2500 0.2500 0.2500 1
Rh1 0.2500 0.2500 0.7500 1

=====

# 2
# LiErCdBr6 GGA-PBE relaxed
# * raw formation energy: -1.4165 eV/atom
data_LiErCdBr6
_chemical_formula_sum 'Li2 Er2 Cd2 Br12'
_cell_length_a 7.0024
_cell_length_b 7.0024
_cell_length_c 12.7936
_cell_angle_alpha 90.00
_cell_angle_beta 90.00
_cell_angle_gamma 120.00
_space_group_name_H-M_alt 'P -3 1 c'
_space_group_IT_number 163
_space_group_name_Hall '-P 3 2c'
loop_
_atom_site_label
_atom_site_fract_x
_atom_site_fract_y
_atom_site_fract_z
_atom_site_occupancy
Li1 0.0000 0.0000 0.0000 1
Er1 0.3333 0.6667 0.2500 1
Cd1 0.3333 0.6667 0.7500 1
Br1 0.0034 0.3422 0.1254 1

=====

# 3
# AlCdFe2 GGA-PBE relaxed
# * distance to the lowest polymorph of the same formula: 0.77 kcal/mol of atoms
# * energy of formation from the pure elements: 0.083 eV per atom
data_AlCdFe2
_chemical_formula_sum 'Al1 Cd1 Fe2'
_cell_length_a 2.7112
_cell_length_b 3.8104
_cell_length_c 5.6043
_cell_angle_alpha 90.00
_cell_angle_beta 90.00
_cell_angle_gamma 90.00
_space_group_name_H-M_alt 'P m m m'
_space_group_IT_number 47
loop_
_space_group_symop_operation_xyz
'x,y,z'
'-x,-y,-z'
'-x,-y,z'
'x,y,-z'
'x,-y,-z'
'-x,y,z'
'-x,y,-z'
'x,-y,z'
loop_
_atom_site_label
_atom_site_fract_x
_atom_site_fract_y
_atom_site_fract_z
_atom_site_occupancy
Al1 0.0000 0.0000 0.0000 1
Cd1 0.0000 0.0000 0.5000 1
Fe1 0.5000 0.5000 0.2152 1

=====

# 4
# Tm5Hg2Pt GGA-PBE relaxed
# * distance to the lowest polymorph of the same formula: 0.00 kcal/mol of atoms
# * energy of formation from the pure elements: -0.606 eV per atom
data_Tm5Hg2Pt
_chemical_formula_sum 'Tm10 Hg4 Pt2'
_cell_length_a 6.8720
_cell_length_b 12.2240
_cell_length_c 4.8459
_cell_angle_alpha 90.00
_cell_angle_beta 90.00
_cell_angle_gamma 90.00
_space_group_name_H-M_alt 'P b a m'
_space_group_IT_number 55
loop_
_space_group_symop_operation_xyz
'x,y,z'
'-x,-y,-z'
'-x,-y,z'
'x,y,-z'
'x+1/2,-y+1/2,-z'
'-x+1/2,y+1/2,z'
'-x+1/2,y+1/2,-z'
'x+1/2,-y+1/2,z'
loop_
_atom_site_label
_atom_site_fract_x
_atom_site_fract_y
_atom_site_fract_z
_atom_site_occupancy
Tm1 0.0000 0.0000 0.0000 1
Tm2 0.1418 0.2877 0.0000 1
Tm3 0.1730 0.5883 0.5000 1
Hg1 0.0869 0.8377 0.5000 1
Pt1 0.0000 0.5000 0.0000 1

=====

# 5
# PmPuPtRh GGA-PBE relaxed
# * distance to the lowest polymorph of the same formula: 1.75 kcal/mol of atoms
# * energy of formation from the pure elements: -0.707 eV per atom
data_PmPuPtRh
_chemical_formula_sum 'Pm4 Pu4 Pt4 Rh4'
_cell_length_a 7.0223
_cell_length_b 7.0223
_cell_length_c 7.0223
_cell_angle_alpha 90.00
_cell_angle_beta 90.00
_cell_angle_gamma 90.00
_space_group_name_H-M_alt 'F -4 3 m'
_space_group_IT_number 216
_space_group_name_Hall 'F -4 2 3'
loop_
_atom_site_label
_atom_site_fract_x
_atom_site_fract_y
_atom_site_fract_z
_atom_site_occupancy
Pm1 0.0000 0.0000 0.0000 1
Pu1 0.0000 0.0000 0.5000 1
Pt1 0.2500 0.2500 0.2500 1
Rh1 0.2500 0.2500 0.7500 1

=====

# 6
# CaTb2Nd5 GGA-PBE relaxed
# * energy of formation from the pure elements: 0.243 eV per atom
data_CaTb2Nd5
_chemical_formula_sum 'Ca4 Tb8 Nd20'
_cell_length_a 6.0754
_cell_length_b 11.7050
_cell_length_c 16.2426
_cell_angle_alpha 90.00
_cell_angle_beta 90.00
_cell_angle_gamma 90.00
_space_group_name_H-M_alt 'I m m a'
_space_group_IT_number 74
_space_group_name_Hall '-I 2b 2'
loop_
_atom_site_label
_atom_site_fract_x
_atom_site_fract_y
_atom_site_fract_z
_atom_site_occupancy
Ca1 0.0000 0.2500 0.0956 1
Tb1 0.0000 0.0000 0.5000 1
Tb2 0.2500 0.2500 0.7500 1
Nd1 0.0000 0.0640 0.8940 1
Nd2 0.0000 0.0808 0.3046 1
Nd3 0.0000 0.2500 0.5506 1

=====

# 7
# TlInBi2H GGA-PBE relaxed
# * E_tot: -3.036 eV per atom
data_TlInBi2H
_chemical_formula_sum 'Tl1 In1 Bi2 H1'
_cell_length_a 6.1554
_cell_length_b 6.1554
_cell_length_c 3.6212
_cell_angle_alpha 90.00
_cell_angle_beta 90.00
_cell_angle_gamma 90.00
_space_group_name_H-M_alt 'P 4/m m m'
_space_group_IT_number 123
_space_group_name_Hall '-P 4 2'
loop_
_atom_site_label
_atom_site_fract_x
_atom_site_fract_y
_atom_site_fract_z
_atom_site_occupancy
Tl1 0.0000 0.0000 0.0000 1
In1 0.5000 0.5000 0.5000 1
Bi1 0.0000 0.5000 0.5000 1
H1 0.5000 0.5000 0.0000 1

=====

# 8
# BaMoRh2 GGA-PBE relaxed
# * distance to the lowest polymorph of the same formula: 5.74 kcal/mol of atoms
# * energy of formation from the pure elements: 0.374 eV per atom
data_BaMoRh2
_chemical_formula_sum 'Ba1 Mo1 Rh2'
_cell_length_a 3.4001
_cell_length_b 4.2790
_cell_length_c 6.4474
_cell_angle_alpha 90.00
_cell_angle_beta 99.46
_cell_angle_gamma 90.00
_space_group_name_H-M_alt 'P 1 m 1'
_space_group_IT_number 6
loop_
_space_group_symop_operation_xyz
'x,y,z'
'x,-y,z'
loop_
_atom_site_label
_atom_site_fract_x
_atom_site_fract_y
_atom_site_fract_z
_atom_site_occupancy
Ba1 0.0000 0.0000 0.0000 1
Mo1 0.8362 0.5000 0.4611 1
Rh1 0.4130 0.5000 0.7411 1
Rh2 0.4523 0.0000 0.4739 1